This record from the Alexandria database describes a relaxed structure of Th6As2P3S. The functional is PBE.

```
Th6As2P3S
1.0
-1.525 3.850 0.470
-2.864 -2.056 7.552
9.133 1.188 1.429
Th As P S
6 2 3 1
direct
0.333 0.925 0.665 Th
0.664 0.591 0.328 Th
0.667 0.075 0.335 Th
0.997 0.253 0.993 Th
0.003 0.747 0.007 Th
0.336 0.409 0.672 Th
0.834 0.667 0.669 As
0.166 0.333 0.331 As
0.500 0.500 0.000 P
0.832 0.165 0.664 P
0.168 0.835 0.336 P
0.500 0.000 0.000 S
```

## Properties
Uncorrected formation energy = -1552 meV/atom
E_tot = -7.73 eV per atom
Space group = C2/m (12)